This record from the Alexandria database describes a relaxed Sc2NbBiI crystal. The functional is PBE.

Structure (extended XYZ):
```
5
Lattice="-1.086 -1.604 5.112 -5.420 -2.362 -1.892 2.434 -4.794 -0.987" Properties=species:S:1:pos:R:3 pbc="T T T"
I -2.710 -1.181 -0.946
Sc 1.217 -2.397 -0.494
Sc -0.543 -0.802 2.556
Nb -2.036 -4.380 1.116
Bi 0.000 0.000 0.000
```

Values from the calculation:
raw formation energy	1.193	eV per atom

---

This record from the Alexandria database describes a relaxed BaCrNiS3 crystal. The functional is PBE.

Structure (extended XYZ):
```
12
Lattice="3.778 0.000 0.000 -1.889 6.663 0.000 0.000 0.000 9.436" Properties=species:S:1:pos:R:3 pbc="T T T"
Ba 1.889 3.299 7.077
Ba 0.000 3.364 2.359
Cr 0.000 0.000 4.718
Cr 0.000 0.000 0.000
Ni 0.000 6.279 7.077
Ni 1.889 0.384 2.359
S 1.889 1.574 4.254
S 0.000 5.089 5.182
S 0.000 5.089 8.972
S 1.889 1.574 0.464
S 0.000 0.808 7.077
S 1.889 5.855 2.359
```

Values from the calculation:
raw formation energy	-0.995	eV per atom

---

This record from the Alexandria database describes a relaxed Nb2BiCl crystal. The functional is PBE.

Structure (extended XYZ):
```
4
Lattice="0.000 3.417 3.417 3.417 0.000 3.417 3.417 3.417 0.000" Properties=species:S:1:pos:R:3 pbc="T T T"
Nb 1.709 1.709 1.709
Nb 5.126 5.126 5.126
Bi 3.417 3.417 3.417
Cl 0.000 0.000 0.000
```

Values from the calculation:
raw formation energy	0.397	eV per atom
energy relative to the lowest polymorph listed for this composition	0.00	kcal/mol of atoms

---

This record from the Alexandria database describes a relaxed Cs2Rb2Hg crystal. The functional is PBE.

Structure (extended XYZ):
```
10
Lattice="-3.060 7.394 6.068 4.024 -4.784 7.859 7.060 3.927 -1.225" Properties=species:S:1:pos:R:3 pbc="T T T"
Cs 5.717 0.043 5.834
Cs 4.744 3.077 9.957
Cs 2.308 6.494 6.868
Cs 3.281 3.459 2.745
Hg 0.000 0.000 0.000
Hg 0.482 1.305 6.964
Rb 2.340 -1.507 8.656
Rb 0.091 3.045 10.285
Rb -1.375 4.116 5.272
Rb 0.874 -0.435 3.642
```

Values from the calculation:
energy relative to the lowest polymorph listed for this composition	1.61	kcal/mol of atoms
energy of formation from the pure elements	-0.03	eV/atom

---

- Which formula does entry 1 have?
  Sc2NbBiI